No. 1
Compound: K2AsP2
Source: the Alexandria database
Functional: PBE
Structure: relaxed

Summary:
Distance to the lowest polymorph of the same formula, kJ/mol of formula units: 47
Fermi-level density of states, states/eV/f.u.: 1.67
Calculated formation energy, eV/atom: -0.09
Size of the total moment, Bohr magnetons per cell: 0.0

```
data_K2AsP2
_space_group_name_H-M_alt 'I 4/m m m'
_space_group_IT_number 139
_space_group_name_Hall '-I 4 2'
_cell_length_a 3.3983
_cell_length_b 3.3983
_cell_length_c 21.2340
_cell_angle_alpha 90.00
_cell_angle_beta 90.00
_cell_angle_gamma 90.00
loop_
_atom_site_label
_atom_site_type_symbol
_atom_site_fract_x
_atom_site_fract_y
_atom_site_fract_z
K1 K 0.0000 0.0000 0.1113
As1 As 0.0000 0.0000 0.5000
P1 P 0.0000 0.5000 0.2500
```

***

No. 2
Compound: CaPa2ReN5
Source: the Alexandria database
Functional: PBE
Structure: relaxed

Summary:
E_form (uncorrected), meV/atom: -1066.1
Fermi-level density of states, states/eV/f.u.: 6.38
Size of the total moment, Bohr magnetons per cell: 0.0

```
data_CaPa2ReN5
_space_group_name_H-M_alt 'I 4/m c m'
_space_group_IT_number 140
_space_group_name_Hall '-I 4 2c'
_cell_length_a 6.6413
_cell_length_b 6.6413
_cell_length_c 11.4954
_cell_angle_alpha 90.00
_cell_angle_beta 90.00
_cell_angle_gamma 90.00
loop_
_atom_site_label
_atom_site_type_symbol
_atom_site_fract_x
_atom_site_fract_y
_atom_site_fract_z
Ca1 Ca 0.0000 0.0000 0.2500
Pa1 Pa 0.1798 0.3202 0.0000
Re1 Re 0.0000 0.5000 0.2500
N1 N 0.0000 0.0000 0.0000
N2 N 0.1461 0.3539 0.3670
```

***

No. 3
Compound: Er3Zn9Cd2
Source: the Alexandria database
Functional: PBE
Structure: relaxed

Summary:
Fermi-level density of states, states/eV/f.u.: 6.66
Calculated formation energy, eV/atom: -0.29
Size of the total moment, Bohr magnetons per cell: 0.0

```
data_Er3Zn9Cd2
_space_group_name_H-M_alt 'I m m m'
_space_group_IT_number 71
_space_group_name_Hall '-I 2 2'
_cell_length_a 4.4655
_cell_length_b 8.8869
_cell_length_c 13.2144
_cell_angle_alpha 90.00
_cell_angle_beta 90.00
_cell_angle_gamma 90.00
loop_
_atom_site_label
_atom_site_type_symbol
_atom_site_fract_x
_atom_site_fract_y
_atom_site_fract_z
Er1 Er 0.0000 0.0000 0.0000
Er2 Er 0.0000 0.0000 0.2875
Zn1 Zn 0.0000 0.2799 0.1428
Zn2 Zn 0.0000 0.3620 0.3366
Zn3 Zn 0.0000 0.5000 0.0000
Cd1 Cd 0.0000 0.1852 0.5000
```